The following is a GGA+U calculation of a relaxed structure of CsMn2HgF8, from Alexandria.

Geometry as POSCAR:
```
CsMn2HgF8
1.0
6.025 0.005 0.013
0.053 5.161 0.039
0.024 0.055 6.834
Cs Mn F Hg
1 2 8 1
Cartesian
0.012 0.028 3.417
3.037 2.602 1.660
3.065 2.619 5.226
4.632 1.588 5.310
1.492 3.636 5.339
1.469 3.633 1.576
3.716 3.636 3.117
2.386 1.585 3.769
3.840 3.728 6.615
4.610 1.585 1.547
2.261 1.493 0.270
0.000 0.000 0.000
```

Space-group type: P-1 (2)
VASP energy: -4.7896 eV/atom
Size of the total moment: 8.76 μB/cell
V: 212.46 Å³ per cell